Pm4Dy2TmMg: optimized geometry, GGA-PBE.

a = 5.053 Å, b = 5.047 Å, c = 9.928 Å
α = 90.00°, β = 90.07°, γ = 90.00°
Sites, in units of the cell vectors:
Pm: 0.000 0.000 0.247
Pm: 0.000 0.000 0.753
Pm: 0.499 0.500 0.753
Pm: 0.501 0.500 0.247
Dy: 0.000 0.500 0.500
Dy: 0.500 0.000 0.000
Tm: 0.500 0.000 0.500
Mg: 0.000 0.500 0.000

Computed properties:
**Crystal system**: monoclinic
**Energy of formation**: 0.9 kJ/mol of atoms
**Calculated density**: 7.20 Mg/m³
**Symmetry**: P2/m (10)



Fe3GeAu: optimized geometry, GGA-PBE.

a = 4.749 Å, b = 4.749 Å, c = 4.749 Å
α = 90.00°, β = 90.00°, γ = 90.00°
Sites, in units of the cell vectors:
Fe: 0.000 0.000 0.500
Fe: 0.000 0.500 0.000
Fe: 0.500 0.000 0.000
Ge: 0.500 0.500 0.500
Au: 0.000 0.000 0.000

Computed properties:
**Crystal system**: cubic
**Energy of formation**: 126.5 kJ/mol of atoms
**Calculated density**: 6.78 Mg/m³
**Symmetry**: Pm-3m (221)
**Energy relative to the lowest polymorph listed for this composition**: 0.4604 eV/atom



Zn3In: optimized geometry, GGA-PBE.

a = 5.312 Å, b = 8.211 Å, c = 3.376 Å
α = 90.00°, β = 90.00°, γ = 90.00°
Sites, in units of the cell vectors:
Zn: 0.000 0.000 0.000
Zn: 0.250 0.250 0.500
Zn: 0.250 0.750 0.500
Zn: 0.500 0.500 0.000
Zn: 0.750 0.250 0.500
Zn: 0.750 0.750 0.500
In: 0.000 0.500 0.000
In: 0.500 0.000 0.000

Computed properties:
**Crystal system**: orthorhombic
**Energy of formation**: 11.0 kJ/mol of atoms
**Calculated density**: 7.02 Mg/m³
**Symmetry**: Cmmm (65)



Ga3BSb: optimized geometry, GGA-PBE.

a = 5.348 Å, b = 5.348 Å, c = 5.348 Å
α = 90.00°, β = 90.00°, γ = 90.00°
Sites, in units of the cell vectors:
Ga: 0.000 0.000 0.500
Ga: 0.000 0.500 0.000
Ga: 0.500 0.000 0.000
B: 0.500 0.500 0.500
Sb: 0.000 0.000 0.000

Computed properties:
**Formation energy without anion corrections**: 1490 meV/atom
**Crystal system**: cubic
**Calculated density**: 3.71 Mg/m³
**Symmetry**: Pm-3m (221)
**Energy relative to the lowest polymorph listed for this composition**: 1.1803 eV/atom